Computed, not measured: crystalline ScNi3Rh at its relaxed geometry at the PBE level of DFT.

Output
space-group type = No. 221
volume = 91 Å³/cell
formation energy from the elements = 0.6714 eV/atom
E = -5.5340 eV per atom
DOS(E_F) = 4.7 states/eV/f.u.
size of the total moment = 0.528 μB/atom

a b c (Å): 4.499 4.499 4.499
angles (deg): 90.00 90.00 90.00
Element x y z (fractional)
1 Sc 0.000 0.000 0.000
2 Ni 0.000 0.500 0.500
3 Ni 0.500 0.000 0.500
4 Ni 0.500 0.500 0.000
5 Rh 0.500 0.500 0.500

***

Computed, not measured: crystalline Tl2SnOs at its relaxed geometry at the PBE level of DFT.

Output
space-group type = No. 122
volume = 187 Å³/cell
formation energy from the elements = 0.8743 eV/atom
E = -4.1170 eV per atom
DOS(E_F) = 3.6 states/eV/f.u.
size of the total moment = 0.000 μB/atom

a b c (Å): 11.228 11.228 11.228
angles (deg): 158.67 158.67 30.34
Element x y z (fractional)
1 Tl 0.117 0.625 0.992
2 Tl 0.375 0.367 0.492
3 Tl 0.633 0.125 0.008
4 Tl 0.875 0.883 0.508
5 Sn 0.250 0.750 0.500
6 Sn 0.500 0.500 0.000
7 Os 0.000 0.000 0.000
8 Os 0.750 0.250 0.500

***

Computed, not measured: crystalline NaLiCaGa at its relaxed geometry at the PBE level of DFT.

Output
space-group type = No. 216
volume = 98 Å³/cell
formation energy from the elements = -0.1017 eV/atom
E = -2.1671 eV per atom
DOS(E_F) = 4.0 states/eV/f.u.
size of the total moment = 0.000 μB/atom

a b c (Å): 5.179 5.179 5.179
angles (deg): 60.00 60.00 60.00
Element x y z (fractional)
1 Na 0.000 0.000 0.000
2 Li 0.250 0.250 0.250
3 Ca 0.750 0.750 0.750
4 Ga 0.500 0.500 0.500

***

Computed, not measured: crystalline Pm6YErTm2 at its relaxed geometry at the PBE level of DFT.

Output
space-group type = No. 15
volume = 667 Å³/cell
formation energy from the elements = 0.1150 eV/atom
E = -4.7324 eV per atom
DOS(E_F) = 14.2 states/eV/f.u.
size of the total moment = 0.000 μB/atom

a b c (Å): 8.906 8.906 9.582
angles (deg): 93.67 93.67 117.88
Element x y z (fractional)
1 Pm 0.011 0.563 0.187
2 Pm 0.120 0.761 0.554
3 Pm 0.239 0.880 0.946
4 Pm 0.291 0.508 0.382
5 Pm 0.437 0.989 0.313
6 Pm 0.492 0.709 0.118
7 Pm 0.508 0.291 0.882
8 Pm 0.563 0.011 0.687
9 Pm 0.709 0.492 0.618
10 Pm 0.761 0.120 0.054
11 Pm 0.880 0.239 0.446
12 Pm 0.989 0.437 0.813
13 Y 0.027 0.973 0.250
14 Y 0.973 0.027 0.750
15 Er 0.411 0.589 0.750
16 Er 0.589 0.411 0.250
17 Tm 0.201 0.303 0.046
18 Tm 0.303 0.201 0.546
19 Tm 0.697 0.799 0.454
20 Tm 0.799 0.697 0.954

***

Computed, not measured: crystalline CaFe3As at its relaxed geometry at the PBE level of DFT.

Output
space-group type = No. 221
volume = 94 Å³/cell
formation energy from the elements = 0.3622 eV/atom
E = -6.0456 eV per atom
DOS(E_F) = 11.8 states/eV/f.u.
size of the total moment = 1.401 μB/atom

a b c (Å): 4.540 4.540 4.540
angles (deg): 90.00 90.00 90.00
Element x y z (fractional)
1 Ca 0.000 0.000 0.000
2 Fe 0.000 0.500 0.500
3 Fe 0.500 0.000 0.500
4 Fe 0.500 0.500 0.000
5 As 0.500 0.500 0.500

***

Computed, not measured: crystalline TiAuBr at its relaxed geometry at the PBE level of DFT.

Output
raw formation energy = 1.33 eV/f.u.
space-group type = No. 216
volume = 65 Å³/cell
E = -3.8370 eV per atom
DOS(E_F) = 2.5 states/eV/f.u.
size of the total moment = 0.000 μB/atom

a b c (Å): 4.517 4.517 4.517
angles (deg): 60.00 60.00 60.00
Element x y z (fractional)
1 Ti 0.000 0.000 0.000
2 Au 0.500 0.500 0.500
3 Br 0.250 0.250 0.250

***

Computed, not measured: crystalline Cr4SiIr at its relaxed geometry at the PBE level of DFT.

Output
raw formation energy = 0.53 eV/f.u.
space-group type = No. 216
volume = 74 Å³/cell
E = -8.7082 eV per atom
DOS(E_F) = 6.4 states/eV/f.u.
size of the total moment = 0.000 μB/atom

a b c (Å): 4.721 4.721 4.721
angles (deg): 60.00 60.00 60.00
Element x y z (fractional)
1 Cr 0.122 0.122 0.122
2 Cr 0.122 0.122 0.633
3 Cr 0.122 0.633 0.122
4 Cr 0.633 0.122 0.122
5 Si 0.750 0.750 0.750
6 Ir 0.500 0.500 0.500

***

Computed, not measured: crystalline TlSnGe2 at its relaxed geometry at the PBE level of DFT.

Output
space-group type = No. 122
volume = 249 Å³/cell
formation energy from the elements = 0.2421 eV/atom
E = -3.6589 eV per atom
DOS(E_F) = 2.1 states/eV/f.u.
size of the total moment = 0.000 μB/atom

a b c (Å): 7.622 7.622 7.622
angles (deg): 130.73 130.73 72.25
Element x y z (fractional)
1 Tl 0.000 0.000 0.000
2 Tl 0.750 0.250 0.500
3 Sn 0.250 0.750 0.500
4 Sn 0.500 0.500 0.000
5 Ge 0.133 0.625 0.008
6 Ge 0.375 0.383 0.508
7 Ge 0.617 0.125 0.992
8 Ge 0.875 0.867 0.492

***

- What is the formula in the fourth record?
  Pm6YErTm2

***

Copy entry 4 word for word.
Computed, not measured: crystalline Pm6YErTm2 at its relaxed geometry at the PBE level of DFT.

Output
space-group type = No. 15
volume = 667 Å³/cell
formation energy from the elements = 0.1150 eV/atom
E = -4.7324 eV per atom
DOS(E_F) = 14.2 states/eV/f.u.
size of the total moment = 0.000 μB/atom

a b c (Å): 8.906 8.906 9.582
angles (deg): 93.67 93.67 117.88
Element x y z (fractional)
1 Pm 0.011 0.563 0.187
2 Pm 0.120 0.761 0.554
3 Pm 0.239 0.880 0.946
4 Pm 0.291 0.508 0.382
5 Pm 0.437 0.989 0.313
6 Pm 0.492 0.709 0.118
7 Pm 0.508 0.291 0.882
8 Pm 0.563 0.011 0.687
9 Pm 0.709 0.492 0.618
10 Pm 0.761 0.120 0.054
11 Pm 0.880 0.239 0.446
12 Pm 0.989 0.437 0.813
13 Y 0.027 0.973 0.250
14 Y 0.973 0.027 0.750
15 Er 0.411 0.589 0.750
16 Er 0.589 0.411 0.250
17 Tm 0.201 0.303 0.046
18 Tm 0.303 0.201 0.546
19 Tm 0.697 0.799 0.454
20 Tm 0.799 0.697 0.954